Record 1
Density functional theory data (PBE) for a relaxed structure of Sr2AcCd3.

## Properties
space-group type = P4/mmm, No. 123
energy = -12.2 eV/f.u.
ΔH_f (0 K) = -327 meV per atom
relative energy among the computed polymorphs = 0 kJ/mol of formula units

Lattice parameters (Å, degrees): 4.077 4.077 12.162 90.00 90.00 90.00
Sites, in units of the cell vectors:
Cd 0.000 0.000 0.000
Ac 0.500 0.500 0.500
Sr 0.500 0.500 0.166
Cd 0.000 0.000 0.666
Sr 0.500 0.500 0.834
Cd 0.000 0.000 0.334



Record 2
Density functional theory data (PBE) for a relaxed structure of SrAcCd2.

## Properties
space-group type = P4/mmm, No. 123
energy = -8.9 eV/f.u.
ΔH_f (0 K) = -328 meV per atom

Lattice parameters (Å, degrees): 4.031 5.784 5.784 90.00 90.00 90.00
Sites, in units of the cell vectors:
Sr 0.500 0.000 0.000
Ac 0.500 0.500 0.500
Cd 0.000 0.500 0.000
Cd 0.000 0.000 0.500